Material: CsTbV2O8
Method: DFT, GGA+U
State: relaxed

Properties
V = 263.92 Å³/cell
electronic total energy = -83.9 eV for the cell shown
mass density = 3.28 Mg/m³

```
data_CsTbV2O8
_chemical_formula_sum 'Cs1 Tb1 V2 O8'
_symmetry_space_group_name_H-M 'P 1'
_symmetry_Int_Tables_number 1
_symmetry_space_group_name_Hall 'P 1'
_cell_length_a 5.992
_cell_length_b 5.992
_cell_length_c 8.488
_cell_angle_alpha 90.00
_cell_angle_beta 90.00
_cell_angle_gamma 120.00
loop_
_atom_site_label
_atom_site_type_symbol
_atom_site_fract_x
_atom_site_fract_y
_atom_site_fract_z
Cs1 Cs 0.000 0.000 0.000
Tb1 Tb 0.000 0.000 0.500
V1 V 0.667 0.333 0.273
V2 V 0.333 0.667 0.727
O1 O 0.333 0.667 0.928
O2 O 0.348 0.174 0.339
O3 O 0.826 0.174 0.339
O4 O 0.667 0.333 0.072
O5 O 0.174 0.826 0.661
O6 O 0.652 0.826 0.661
O7 O 0.174 0.348 0.661
O8 O 0.826 0.652 0.339
```